No. 1
Material: MgHg2As
Method: DFT, PBE-GGA
State: optimized geometry

Cell lengths 5.036, 5.036, 5.036 Å; angles 60.00, 60.00, 60.00 degrees
Positions (direct):
Mg (0.000, 0.000, 0.000)
Hg (0.250, 0.250, 0.250)
Hg (0.500, 0.500, 0.500)
As (0.750, 0.750, 0.750)

## Properties
N(E_F), states/eV/cell: 3.23
ΔE_f, meV/atom: 43
Space-group type: No. 216
Final energy, eV/cell: -6.7


No. 2
Material: MgHgAs4
Method: DFT, PBE-GGA
State: optimized geometry

Cell lengths 5.676, 5.676, 5.676 Å; angles 60.00, 60.00, 60.00 degrees
Positions (direct):
Mg (0.000, 0.000, 0.000)
Hg (0.250, 0.250, 0.250)
As (0.127, 0.624, 0.624)
As (0.624, 0.127, 0.624)
As (0.624, 0.624, 0.127)
As (0.624, 0.624, 0.624)

## Properties
N(E_F), states/eV/cell: 2.22
ΔE_f, meV/atom: 211
Space-group type: No. 216
Final energy, eV/cell: -19.2


In μB/atom, the total moment values for the records above are, in order, 0.000, 0.000.